Density functional theory data (PBE-GGA) for crystalline Ho3Sc2Tl3 at its relaxed geometry.

a = 4.3454 Å, b = 4.7967 Å, c = 10.5812 Å
α = 103.10°, β = 101.85°, γ = 90.00°
Atoms (fractional coordinates):
Tl (0.0000, 0.5000, 0.0000)
Tl (0.8632, 0.8632, 0.7264)
Tl (0.1368, 0.1368, 0.2736)
Ho (0.3772, 0.3772, 0.7544)
Ho (0.5000, 0.0000, 0.0000)
Ho (0.6228, 0.6228, 0.2456)
Sc (0.2579, 0.7579, 0.5159)
Sc (0.7421, 0.2421, 0.4841)

Results
* energy relative to the elements: -0.24 eV/atom
* SG: Immm (71)